Record 1
First-principles (PBE-GGA) data for a relaxed Tm3Mg3Zn2Ga crystal, as listed in OQMD.

Cell: 7.2091 7.2091 4.4026 Å, 90.00 90.00 120.00°
Space group P-62m (No. 189)
Unique sites:
1 Tm 0.0000 0.5800 0.0000 [3 per cell]
2 Mg 0.0000 0.2447 0.5000 [3 per cell]
3 Zn 0.3333 0.6667 0.5000 [2 per cell]
4 Ga 0.0000 0.0000 0.0000 [1 per cell]

For the total energy, the calculation gives -2.933 eV/atom.



Record 2
First-principles (PBE-GGA) data for a relaxed Tm3Mg3ZnGa2 crystal, as listed in OQMD.

Cell: 7.2345 7.2345 4.3330 Å, 90.00 90.00 120.00°
Space group P-62m (No. 189)
Unique sites:
1 Tm 0.0000 0.5744 0.0000 [3 per cell]
2 Mg 0.0000 0.2427 0.5000 [3 per cell]
3 Zn 0.0000 0.0000 0.0000 [1 per cell]
4 Ga 0.3333 0.6667 0.5000 [2 per cell]

For the total energy, the calculation gives -3.248 eV/atom.



Record 3
First-principles (PBE-GGA) data for a relaxed MgGaW crystal, as listed in OQMD.

Cell: 6.260 6.260 6.260 Å, 90.00 90.00 90.00°
Space group F-43m (No. 216)
Unique sites:
1 Mg 0.000 0.000 0.000 [4 per cell]
2 Ga 0.000 0.000 0.500 [4 per cell]
3 W 0.250 0.250 0.750 [4 per cell]

For the total energy, the calculation gives -4.821 eV/atom.



Record 4
First-principles (PBE-GGA) data for a relaxed Mg2GaW crystal, as listed in OQMD.

Cell: 6.505 6.505 6.505 Å, 90.00 90.00 90.00°
Space group F-43m (No. 216)
Unique sites:
1 Mg 0.000 0.000 0.000 [4 per cell]
2 Mg 0.250 0.250 0.250 [4 per cell]
3 Ga 0.000 0.000 0.500 [4 per cell]
4 W 0.250 0.250 0.750 [4 per cell]

For the total energy, the calculation gives -4.311 eV/atom.



Record 5
First-principles (PBE-GGA) data for a relaxed MgGaW2 crystal, as listed in OQMD.

Cell: 6.348 6.348 6.348 Å, 90.00 90.00 90.00°
Space group F-43m (No. 216)
Unique sites:
1 Mg 0.000 0.000 0.000 [4 per cell]
2 Ga 0.250 0.250 0.750 [4 per cell]
3 W 0.000 0.000 0.500 [4 per cell]
4 W 0.250 0.250 0.250 [4 per cell]

For the total energy, the calculation gives -7.362 eV/atom.



Record 6
First-principles (PBE-GGA) data for a relaxed Y3Mg3ZnGa2 crystal, as listed in OQMD.

Cell: 7.3507 7.3507 4.3382 Å, 90.00 90.00 120.00°
Space group P-62m (No. 189)
Unique sites:
1 Y 0.0000 0.4220 0.0000 [3 per cell]
2 Mg 0.0000 0.7564 0.5000 [3 per cell]
3 Zn 0.0000 0.0000 0.0000 [1 per cell]
4 Ga 0.3333 0.6667 0.5000 [2 per cell]

For the total energy, the calculation gives -3.952 eV/atom.



Record 7
First-principles (PBE-GGA) data for a relaxed Y3Mg3Zn2Ga crystal, as listed in OQMD.

Cell: 7.5829 7.5829 4.1245 Å, 90.00 90.00 120.00°
Space group P-62m (No. 189)
Unique sites:
1 Y 0.0000 0.4128 0.0000 [3 per cell]
2 Mg 0.0000 0.7526 0.5000 [3 per cell]
3 Zn 0.3333 0.6667 0.5000 [2 per cell]
4 Ga 0.0000 0.0000 0.0000 [1 per cell]

For the total energy, the calculation gives -3.629 eV/atom.



Record 8
First-principles (PBE-GGA) data for a relaxed MgZn2Ga crystal, as listed in OQMD.

Cell: 6.503 6.503 6.503 Å, 90.00 90.00 90.00°
Space group F-43m (No. 216)
Unique sites:
1 Mg 0.000 0.000 0.000 [4 per cell]
2 Zn 0.000 0.000 0.500 [4 per cell]
3 Zn 0.250 0.250 0.750 [4 per cell]
4 Ga 0.250 0.250 0.250 [4 per cell]

For the total energy, the calculation gives -1.768 eV/atom.



Record 9
First-principles (PBE-GGA) data for a relaxed MgZrGa2 crystal, as listed in OQMD.

Cell: 6.754 6.754 6.754 Å, 90.00 90.00 90.00°
Space group F-43m (No. 216)
Unique sites:
1 Mg 0.000 0.000 0.000 [4 per cell]
2 Zr 0.250 0.250 0.250 [4 per cell]
3 Ga 0.000 0.000 0.500 [4 per cell]
4 Ga 0.250 0.250 0.750 [4 per cell]

For the total energy, the calculation gives -3.957 eV/atom.



Record 10
First-principles (PBE-GGA) data for a relaxed MgZrGa2 crystal, as listed in OQMD.

Cell: 4.234 4.234 4.003 Å, 90.00 90.00 90.00°
Space group P4/mmm (No. 123)
Unique sites:
1 Mg 0.000 0.000 0.000 [1 per cell]
2 Zr 0.500 0.500 0.000 [1 per cell]
3 Ga 0.000 0.500 0.500 [2 per cell]

For the total energy, the calculation gives -4.484 eV/atom.



Record 11
First-principles (PBE-GGA) data for a relaxed Ga3Mo crystal, as listed in OQMD.

Cell: 3.811 3.811 8.481 Å, 90.00 90.00 90.00°
Space group I4/mmm (No. 139)
Unique sites:
1 Ga 0.000 0.000 0.000 [2 per cell]
2 Ga 0.000 0.500 0.250 [4 per cell]
3 Mo 0.000 0.000 0.500 [2 per cell]

For the total energy, the calculation gives -5.042 eV/atom. As for the energy above the most stable polymorph in this dataset: 30 meV per atom.



Record 12
First-principles (PBE-GGA) data for a relaxed Ga3Mo crystal, as listed in OQMD.

Cell: 5.049 5.049 5.049 Å, 90.00 90.00 90.00°
Space group Pm-3n (No. 223)
Unique sites:
1 Ga 0.000 0.250 0.500 [6 per cell]
2 Mo 0.000 0.000 0.000 [2 per cell]

For the total energy, the calculation gives -4.861 eV/atom. As for the energy above the most stable polymorph in this dataset: 212 meV per atom.



Please write out number 9 again, unchanged.
First-principles (PBE-GGA) data for a relaxed MgZrGa2 crystal, as listed in OQMD.

Cell: 6.754 6.754 6.754 Å, 90.00 90.00 90.00°
Space group F-43m (No. 216)
Unique sites:
1 Mg 0.000 0.000 0.000 [4 per cell]
2 Zr 0.250 0.250 0.250 [4 per cell]
3 Ga 0.000 0.000 0.500 [4 per cell]
4 Ga 0.250 0.250 0.750 [4 per cell]

For the total energy, the calculation gives -3.957 eV/atom.



Which of these has the lowest total energy?
MgGaW2



Look up the total energy of the seventh one.
-3.629 eV/atom



Please write out number 9 again, unchanged.
First-principles (PBE-GGA) data for a relaxed MgZrGa2 crystal, as listed in OQMD.

Cell: 6.754 6.754 6.754 Å, 90.00 90.00 90.00°
Space group F-43m (No. 216)
Unique sites:
1 Mg 0.000 0.000 0.000 [4 per cell]
2 Zr 0.250 0.250 0.250 [4 per cell]
3 Ga 0.000 0.000 0.500 [4 per cell]
4 Ga 0.250 0.250 0.750 [4 per cell]

For the total energy, the calculation gives -3.957 eV/atom.